VASP calculation (PBE-GGA) on Ba3La3ScSe8 after structural relaxation.

a = 8.6985 Å, b = 8.6980 Å, c = 9.0867 Å
α = 118.59°, β = 90.00°, γ = 120.00°
Last column: nearest neighbours and their distance in Å.
Element x y z (fractional)
La 0.5000 0.0000 0.5000  6 Se 3.04
La 0.0000 0.5000 0.5000  6 Se 3.04-3.05
La 0.5000 0.5000 0.5000  6 Se 3.04-3.05
Se 0.2248 0.4497 0.7085  1 Sc 2.82, 2 La 3.04
Se 0.2414 0.0163 0.2915  1 Sc 2.82, 2 La 3.04
Se 0.7752 0.5503 0.2915  1 Sc 2.82, 2 La 3.04
Se 0.7424 0.4848 0.7277  3 La 3.04-3.05, 3 Ba 3.25
Se 0.2576 0.5152 0.2723  3 La 3.04-3.05, 3 Ba 3.25
Se 0.7749 0.0163 0.2915  1 Sc 2.82, 2 La 3.04
Se 0.7586 0.9837 0.7085  1 Sc 2.82, 2 La 3.04
Se 0.2251 0.9837 0.7085  1 Sc 2.82, 2 La 3.04
Sc 0.0000 0.0000 0.5000  6 Se 2.82
Ba 0.5000 0.5000 0.0000  6 Se 3.25-3.28
Ba 0.0000 0.0000 0.0000  6 Se 3.25-3.28
Ba 0.0000 0.5000 0.0000  6 Se 3.25-3.28

For the uncorrected formation energy, the calculation gives -1.95 eV/atom. Its space group is R-3m, No. 166.

***

VASP calculation (PBE-GGA) on Na6OsCl12 after structural relaxation.

a = 8.1635 Å, b = 8.1635 Å, c = 8.1635 Å
α = 93.84°, β = 93.84°, γ = 93.84°
Last column: nearest neighbours and their distance in Å.
Element x y z (fractional)
Os 0.0000 0.0000 0.0000  6 Cl 2.30
Cl 0.1690 0.6195 0.3885  4 Na 2.71-2.77
Cl 0.0154 0.9620 0.7198  1 Os 2.30
Cl 0.0380 0.2802 0.9846  1 Os 2.30
Cl 0.6195 0.3885 0.1690  4 Na 2.71-2.77
Cl 0.6115 0.8310 0.3805  4 Na 2.71-2.77
Cl 0.2802 0.9846 0.0380  1 Os 2.30
Cl 0.3885 0.1690 0.6195  4 Na 2.71-2.77
Cl 0.9846 0.0380 0.2802  1 Os 2.30
Cl 0.7198 0.0154 0.9620  1 Os 2.30
Cl 0.3805 0.6115 0.8310  4 Na 2.71-2.77
Cl 0.8310 0.3805 0.6115  4 Na 2.71-2.77
Cl 0.9620 0.7198 0.0154  1 Os 2.30
Na 0.3674 0.8355 0.6007  4 Cl 2.71-2.77
Na 0.3993 0.6326 0.1645  4 Cl 2.71-2.77
Na 0.8355 0.6007 0.3674  4 Cl 2.71-2.77
Na 0.1645 0.3993 0.6326  4 Cl 2.71-2.77
Na 0.6326 0.1645 0.3993  4 Cl 2.71-2.77
Na 0.6007 0.3674 0.8355  4 Cl 2.71-2.77

For the uncorrected formation energy, the calculation gives -1.20 eV/atom. Its space group is R-3, No. 148.

***

VASP calculation (PBE-GGA) on CsReAg2Cl8 after structural relaxation.

a = 6.3497 Å, b = 7.2262 Å, c = 9.9199 Å
α = 59.26°, β = 86.43°, γ = 92.80°
Last column: nearest neighbours and their distance in Å.
Element x y z (fractional)
Cl 0.8289 0.1793 0.1083  1 Re 2.33
Cl 0.3192 0.2048 0.9664  1 Re 2.35, 1 Ag 2.55
Cl 0.4832 0.7363 0.5357  2 Ag 2.51-2.60
Cl 0.9205 0.2670 0.7466  1 Re 2.36
Cl 0.6808 0.7952 0.0336  1 Re 2.35, 1 Ag 2.55
Cl 0.1711 0.8207 0.8917  1 Re 2.33
Cl 0.5168 0.2636 0.4643  2 Ag 2.51-2.60
Cl 0.0795 0.7330 0.2534  1 Re 2.36
Ag 0.4953 0.3197 0.6940  4 Cl 2.51-2.79
Ag 0.5047 0.6803 0.3060  4 Cl 2.51-2.79
Re 0.0000 0.0000 0.0000  6 Cl 2.33-2.36
Cs 0.0000 0.0000 0.5000  8 Cl 3.62-3.84

For the uncorrected formation energy, the calculation gives -0.78 eV/atom. Its space group is P-1, No. 2.

***

VASP calculation (PBE-GGA) on KSbAu10 after structural relaxation.

a = 4.6658 Å, b = 5.6440 Å, c = 9.8572 Å
α = 90.00°, β = 90.00°, γ = 90.00°
Last column: nearest neighbours and their distance in Å.
Element x y z (fractional)
Au 0.5000 0.2497 0.7492  8 Au 2.81-2.87
Au 0.5000 0.2497 0.2508  8 Au 2.81-2.87
Au 0.5000 0.7503 0.7492  8 Au 2.81-2.87
Au 0.0000 0.0000 0.6573  7 Au 2.80-3.10
Au 0.0000 0.5000 0.1823  6 Au 2.81-2.94, 1 Sb 3.13
Au 0.5000 0.7503 0.2508  8 Au 2.81-2.87
Au 0.5000 0.5000 0.0000  8 Au 2.85-2.94
Au 0.5000 0.0000 0.5000  8 Au 2.80-2.83
Au 0.0000 0.5000 0.8177  6 Au 2.81-2.94, 1 Sb 3.13
Au 0.0000 0.0000 0.3427  7 Au 2.80-3.10
Sb 0.0000 0.5000 0.5000  6 Au 3.13-3.22
K 0.0000 0.0000 0.0000  18 Au 3.35-3.68

For the uncorrected formation energy, the calculation gives -0.04 eV/atom. Its space group is Pmmm, No. 47.

***

VASP calculation (PBE-GGA) on Ac2Nd3Ho4 after structural relaxation.

a = 3.7028 Å, b = 3.7028 Å, c = 27.1732 Å
α = 90.00°, β = 90.00°, γ = 120.00°
Last column: nearest neighbours and their distance in Å.
Element x y z (fractional)
Ho 0.6667 0.3333 0.2276  3 Nd 3.54, 1 Ac 3.54, 6 Ho 3.70
Ho 0.6667 0.3333 0.4388  9 Ho 3.47-3.70, 3 Nd 3.62
Ho 0.0000 0.0000 0.7515  3 Nd 3.59, 6 Ho 3.70, 3 Ac 3.71
Ho 0.0000 0.0000 0.5393  9 Ho 3.47-3.70, 3 Nd 3.59
Nd 0.0000 0.0000 0.9828  6 Nd 3.70, 6 Ac 3.77-3.89
Nd 0.0000 0.0000 0.3313  6 Ho 3.54-3.62, 6 Nd 3.70
Nd 0.6667 0.3333 0.6456  6 Ho 3.59, 6 Nd 3.70
Ac 0.6667 0.3333 0.8631  6 Ac 3.70, 3 Ho 3.71, 3 Nd 3.89
Ac 0.6667 0.3333 0.0971  1 Ho 3.54, 6 Ac 3.70, 3 Nd 3.77

As for the polymorph energy (0 for the lowest one): 0.00 eV/f.u. Its space group is P3m1, No. 156. Its formation enthalpy at 0 K is 0.090 eV/atom.

***

VASP calculation (PBE-GGA) on TmSc6Sn after structural relaxation.

a = 3.5043 Å, b = 7.5064 Å, c = 7.5064 Å
α = 90.00°, β = 90.00°, γ = 90.00°
Last column: nearest neighbours and their distance in Å.
Element x y z (fractional)
Tm 0.5000 0.5000 0.5000  8 Sc 3.31, 2 Tm 3.50
Sc 0.5000 0.5000 0.0000  10 Sc 3.18-3.50
Sc 0.0000 0.7642 0.7642  2 Sn 3.06, 4 Sc 3.18, 2 Tm 3.31
Sc 0.0000 0.2358 0.7642  2 Sn 3.06, 4 Sc 3.18, 2 Tm 3.31
Sc 0.5000 0.0000 0.5000  10 Sc 3.18-3.50
Sc 0.0000 0.2358 0.2358  2 Sn 3.06, 4 Sc 3.18, 2 Tm 3.31
Sc 0.0000 0.7642 0.2358  2 Sn 3.06, 4 Sc 3.18, 2 Tm 3.31
Sn 0.5000 0.0000 0.0000  8 Sc 3.06

As for the polymorph energy (0 for the lowest one): 0.00 eV/f.u. Its space group is P4/mmm, No. 123. Its formation enthalpy at 0 K is -0.111 eV/atom.

***

N(E_F)? In order: 5.05 11.99 9.24 5.02 15.39 14.21 states/eV/f.u..
Magnetic moment? In order: 0.00 1.75 2.02 0.00 0.01 0.00 Bohr magnetons per cell.